[1]
This record from Alexandria describes a geometry-optimized CaZr2Sc structure. The functional is GGA-PBE.

The structure in POSCAR format:
```
CaZr2Sc
1.0
-0.8619 3.0158 -4.5554
-3.5806 3.1017 -2.8545
1.7452 5.4687 2.5134
Ca Zr Sc
1 2 1
Direct
0.4991 0.4991 0.4991
0.7417 0.7417 0.8024
0.0024 0.0024 0.9786
0.2568 0.2568 0.2199
```

Properties
symmetry = Cm
formation enthalpy at 0 K = 0.20 eV per atom
total DFT energy (no corrections) = -6.153 eV/atom
DOS at the Fermi energy = 1.320 states/eV per atom

[2]
This record from Alexandria describes a geometry-optimized CaZr2Sc structure. The functional is GGA-PBE.

The structure in POSCAR format:
```
CaZr2Sc
1.0
3.2274 0.0075 0.0000
-0.0087 3.2274 0.0000
0.0000 0.0000 9.9604
Sc Zr Ca
1 2 1
Direct
0.5000 0.5000 0.7500
0.0000 0.0000 0.5287
0.0000 0.0000 0.9713
0.5000 0.5000 0.2500
```

Properties
symmetry = P4/mmm
formation enthalpy at 0 K = 0.20 eV per atom
total DFT energy (no corrections) = -6.155 eV/atom
DOS at the Fermi energy = 1.776 states/eV per atom

[3]
This record from Alexandria describes a geometry-optimized Ca2ZrSc structure. The functional is GGA-PBE.

The structure in POSCAR format:
```
Ca2ZrSc
1.0
-5.7712 0.7874 0.2815
-0.4697 -2.8862 -1.5574
-0.2326 -3.5264 5.0961
Sc Ca Zr
1 2 1
Direct
0.5000 0.2500 0.2500
0.0000 0.4934 0.5039
0.0000 0.0066 0.9961
0.5000 0.7500 0.7500
```

Properties
symmetry = P2/m
formation enthalpy at 0 K = 0.36 eV per atom
total DFT energy (no corrections) = -4.361 eV/atom
DOS at the Fermi energy = 1.371 states/eV per atom

[4]
This record from Alexandria describes a geometry-optimized Ca2ZrSc structure. The functional is GGA-PBE.

The structure in POSCAR format:
```
Ca2ZrSc
1.0
12.0051 -0.0009 -0.0005
11.5230 3.3680 -0.0005
11.5230 1.6491 2.9367
Sc Ca Zr
1 2 1
Direct
0.2500 0.2500 0.2500
0.4972 0.4972 0.4972
0.0028 0.0028 0.0028
0.7500 0.7500 0.7500
```

Properties
symmetry = R-3m
formation enthalpy at 0 K = 0.33 eV per atom
total DFT energy (no corrections) = -4.392 eV/atom
DOS at the Fermi energy = 1.466 states/eV per atom

[5]
This record from Alexandria describes a geometry-optimized Ca2ZrSc structure. The functional is GGA-PBE.

The structure in POSCAR format:
```
Ca2ZrSc
1.0
6.2570 0.0134 0.0000
2.5849 5.6981 0.0000
-4.4210 -2.8558 3.3838
Ca Sc Zr
2 1 1
Direct
0.0000 0.0000 0.0000
0.5000 0.5000 0.0000
0.2500 0.7500 0.5000
0.7500 0.2500 0.5000
```

Properties
symmetry = I4/mmm
formation enthalpy at 0 K = 0.39 eV per atom
total DFT energy (no corrections) = -4.335 eV/atom
DOS at the Fermi energy = 1.418 states/eV per atom

[6]
This record from Alexandria describes a geometry-optimized CaZr2Sc structure. The functional is GGA-PBE.

The structure in POSCAR format:
```
CaZr2Sc
1.0
-4.3060 3.1888 -3.6829
-5.3946 2.5217 2.6102
6.4847 -0.2541 -0.3971
Zr Sc Ca
2 1 1
Direct
0.0140 0.0140 0.0000
0.4860 0.4860 0.0000
0.2500 0.7500 0.5000
0.7500 0.2500 0.5000
```

Properties
symmetry = Immm
formation enthalpy at 0 K = 0.31 eV per atom
total DFT energy (no corrections) = -6.050 eV/atom
DOS at the Fermi energy = 1.817 states/eV per atom